1.
The following is a DFT calculation (PBE) of a relaxed structure of Sm3PN.

a b c (Å): 6.313 6.313 9.407
angles (deg): 90.00 90.00 144.88
Each line ends with the local moment (μB).
Fractional coordinates of all 10 atoms:
N (0.000, 0.000, 0.000)  0.00
N (0.000, 0.000, 0.500)  0.00
P (0.746, 0.254, 0.250)  0.00
P (0.254, 0.746, 0.750)  0.00
Sm (0.369, 0.631, 0.056)  0.02
Sm (0.065, 0.935, 0.250)  0.06
Sm (0.369, 0.631, 0.444)  0.02
Sm (0.631, 0.369, 0.556)  0.02
Sm (0.935, 0.065, 0.750)  0.06
Sm (0.631, 0.369, 0.944)  0.02

2.
The following is a DFT calculation (PBE) of a relaxed structure of LaBPd.

The excess energy over the best structure of this formula in the dataset is 0.000 eV per atom.

a b c (Å): 4.505 4.505 4.505
angles (deg): 60.00 60.00 60.00
Fractional coordinates of all 3 atoms:
B (0.250, 0.250, 0.250)
La (0.750, 0.750, 0.750)
Pd (0.000, 0.000, 0.000)

3.
The following is a DFT calculation (PBE) of a relaxed structure of MgTaSbTe.

The excess energy over the best structure of this formula in the dataset is 0.000 eV per atom.

a b c (Å): 4.993 4.993 4.993
angles (deg): 60.00 60.00 60.00
Fractional coordinates of all 4 atoms:
Mg (0.750, 0.750, 0.750)
Sb (0.000, 0.000, 0.000)
Ta (0.250, 0.250, 0.250)
Te (0.500, 0.500, 0.500)

4.
The following is a DFT calculation (PBE) of a relaxed structure of TaCuB2.

a b c (Å): 3.976 3.976 3.976
angles (deg): 60.00 60.00 60.00
Fractional coordinates of all 4 atoms:
B (0.000, 0.000, 0.000)
B (0.750, 0.750, 0.750)
Cu (0.250, 0.250, 0.250)
Ta (0.500, 0.500, 0.500)

5.
The following is a DFT calculation (PBE) of a relaxed structure of CoH3.

The excess energy over the best structure of this formula in the dataset is 0.184 eV per atom.

a b c (Å): 3.236 3.236 3.236
angles (deg): 133.05 133.05 68.58
Fractional coordinates of all 4 atoms:
Co (0.000, 0.000, 0.000)
H (0.500, 0.500, 0.000)
H (0.750, 0.250, 0.500)
H (0.250, 0.750, 0.500)

6.
The following is a DFT calculation (PBE) of a relaxed structure of TbErCo2Ge2B.

a b c (Å): 5.730 5.730 6.876
angles (deg): 126.32 126.32 41.10
Fractional coordinates of all 7 atoms:
B (0.999, 0.999, 0.996)
Co (0.201, 0.201, 0.088)
Co (0.798, 0.798, 0.912)
Er (0.442, 0.442, 0.704)
Ge (0.836, 0.836, 0.294)
Ge (0.165, 0.165, 0.709)
Tb (0.560, 0.560, 0.298)

no.,total energy (eV/atom)
1,-6.7337
2,-5.2696
3,-5.0075
4,-6.1126
5,-3.9013
6,-6.2698